Version A
VGaBr3: optimized geometry, GGA-PBE.

Computed properties:
**SG**: Pm-3m
**Total magnetization**: 3.809 μB/f.u.

abc: 5.298 5.298 5.298
angles: 90.00 90.00 90.00
Each line ends with the local moment (μB).
Sites, in units of the cell vectors:
Br 0.000 0.500 0.000  -0.02
Br 0.000 0.000 0.500  -0.02
Br 0.500 0.000 0.000  -0.02
Ga 0.000 0.000 0.000  -0.01
V 0.500 0.500 0.500  3.25


Version B
VGaBr3: optimized geometry, GGA-PBE.

Computed properties:
**SG**: Pm-3m
**Total magnetization**: 3.000 μB/f.u.

abc: 5.222 5.222 5.222
angles: 90.00 90.00 90.00
Each line ends with the local moment (μB).
Sites, in units of the cell vectors:
Ga 0.500 0.500 0.500  0.01
Br 0.000 0.500 0.000  0.00
Br 0.000 0.000 0.500  0.00
Br 0.500 0.000 0.000  0.00
V 0.000 0.000 0.000  2.58


Relative to the most stable one, in kJ/mol of atoms, the structures come out at version A 66.3; version B 0.0.


Version A
V2GaBr: optimized geometry, GGA-PBE.

Computed properties:
**SG**: Fm-3m
**Total magnetization**: 0.001 μB/f.u.

abc: 4.425 4.425 4.425
angles: 60.00 60.00 60.00
Sites, in units of the cell vectors:
Br 0.500 0.500 0.500
Ga 0.000 0.000 0.000
V 0.250 0.250 0.250
V 0.750 0.750 0.750


Version B
V2GaBr: optimized geometry, GGA-PBE.

Computed properties:
**SG**: I-42d
**Total magnetization**: 0.000 μB/f.u.

abc: 3.879 3.879 9.460
angles: 78.17 78.17 90.00
Sites, in units of the cell vectors:
Br 0.000 0.000 0.000
Br 0.750 0.250 0.500
Ga 0.500 0.500 0.000
Ga 0.250 0.750 0.500
V 0.617 0.125 0.250
V 0.133 0.625 0.250
V 0.375 0.383 0.750
V 0.875 0.867 0.750


Relative to the most stable one, in kJ/mol of atoms, the structures come out at version A 0.0; version B 11.0.


Version A
VGa2Br: optimized geometry, GGA-PBE.

Computed properties:
**SG**: I-42d
**Total magnetization**: 3.326 μB/f.u.

abc: 8.472 8.472 6.514
angles: 49.44 49.44 90.00
Each line ends with the local moment (μB).
Sites, in units of the cell vectors:
Br 0.000 0.000 0.000  0.04
Br 0.750 0.250 0.500  0.04
Ga 0.562 0.125 0.250  0.07
Ga 0.188 0.625 0.250  0.07
Ga 0.375 0.438 0.750  0.07
Ga 0.875 0.812 0.750  0.07
V 0.500 0.500 0.000  2.55
V 0.250 0.750 0.500  2.55


Version B
VGa2Br: optimized geometry, GGA-PBE.

Computed properties:
**SG**: Fm-3m
**Total magnetization**: 3.605 μB/f.u.

abc: 4.973 4.973 4.973
angles: 60.00 60.00 60.00
Each line ends with the local moment (μB).
Sites, in units of the cell vectors:
Br 0.500 0.500 0.500  0.07
Ga 0.250 0.250 0.250  0.02
Ga 0.750 0.750 0.750  0.02
V 0.000 0.000 0.000  2.82


Relative to the most stable one, in kJ/mol of atoms, the structures come out at version A 0.0; version B 27.2.


Version A
GaWBr3: optimized geometry, GGA-PBE.

Computed properties:
**SG**: Pm-3m
**Total magnetization**: 5.009 μB/f.u.

abc: 5.259 5.259 5.259
angles: 90.00 90.00 90.00
Each line ends with the local moment (μB).
Sites, in units of the cell vectors:
Ga 0.000 0.000 0.000  -0.01
Br 0.000 0.500 0.000  0.02
Br 0.000 0.000 0.500  0.01
Br 0.500 0.000 0.000  -0.01
W 0.500 0.500 0.500  3.58


Version B
GaWBr3: optimized geometry, GGA-PBE.

Computed properties:
**SG**: Pm-3m
**Total magnetization**: 4.000 μB/f.u.

abc: 5.382 5.382 5.382
angles: 90.00 90.00 90.00
Each line ends with the local moment (μB).
Sites, in units of the cell vectors:
Ga 0.500 0.500 0.500  0.02
Br 0.000 0.500 0.000  0.03
Br 0.000 0.000 0.500  0.05
Br 0.500 0.000 0.000  0.04
W 0.000 0.000 0.000  2.91


Relative to the most stable one, in kJ/mol of atoms, the structures come out at version A 66.2; version B 0.0.


Version A
GaWBr2: optimized geometry, GGA-PBE.

Computed properties:
**SG**: I-42d
**Total magnetization**: 0.707 μB/f.u.

abc: 9.095 9.095 6.939
angles: 49.06 49.06 90.00
Each line ends with the local moment (μB).
Sites, in units of the cell vectors:
Ga 0.500 0.500 0.000  0.00
Ga 0.250 0.750 0.500  0.00
Br 0.769 0.125 0.250  0.02
Br 0.981 0.625 0.250  0.02
Br 0.375 0.231 0.750  0.02
Br 0.875 0.019 0.750  0.02
W 0.000 0.000 0.000  0.53
W 0.750 0.250 0.500  0.52


Version B
GaWBr2: optimized geometry, GGA-PBE.

Computed properties:
**SG**: Fm-3m
**Total magnetization**: 0.000 μB/f.u.

abc: 4.765 4.765 4.765
angles: 60.00 60.00 60.00
Sites, in units of the cell vectors:
Ga 0.000 0.000 0.000
Br 0.250 0.250 0.250
Br 0.750 0.750 0.750
W 0.500 0.500 0.500


Version C
GaWBr2: optimized geometry, GGA-PBE.

Computed properties:
**SG**: R-3m
**Total magnetization**: 0.000 μB/f.u.

abc: 11.051 11.051 11.051
angles: 16.78 16.78 16.78
Sites, in units of the cell vectors:
Ga 0.000 0.000 0.000
Br 0.891 0.891 0.891
Br 0.109 0.109 0.109
W 0.500 0.500 0.500


Relative to the most stable one, in kJ/mol of atoms, the structures come out at version A 4.8; version B 58.8; version C 0.0.


Version A
YGa2Br: optimized geometry, GGA-PBE.

Computed properties:
**SG**: I-42d
**Total magnetization**: 0.000 μB/f.u.

abc: 8.638 8.638 6.727
angles: 50.06 50.06 90.00
Sites, in units of the cell vectors:
Y 0.000 0.000 0.000
Y 0.750 0.250 0.500
Ga 0.645 0.125 0.250
Ga 0.105 0.625 0.250
Ga 0.375 0.355 0.750
Ga 0.875 0.895 0.750
Br 0.500 0.500 0.000
Br 0.250 0.750 0.500


Version B
YGa2Br: optimized geometry, GGA-PBE.

Computed properties:
**SG**: Fm-3m
**Total magnetization**: 0.000 μB/f.u.

abc: 5.199 5.199 5.199
angles: 60.00 60.00 60.00
Sites, in units of the cell vectors:
Y 0.500 0.500 0.500
Ga 0.250 0.250 0.250
Ga 0.750 0.750 0.750
Br 0.000 0.000 0.000


Relative to the most stable one, in kJ/mol of atoms, the structures come out at version A 0.0; version B 16.7.